The following is a DFT calculation (PBE-GGA) of TaPdN2F after structural relaxation.

```
5
Lattice="3.986 0.000 0.000 0.000 3.986 0.000 0.000 0.000 3.852" Properties=species:S:1:pos:R:3 pbc="T T T"
Ta 0.000 0.000 0.000
Pd 1.993 1.993 1.926
N 0.000 1.993 1.926
N 1.993 0.000 1.926
F 1.993 1.993 0.000
```

- Symmetry: P4/mmm, No. 123
- DFT total energy: -6.108 eV per atom
- E above lowest polymorph: 6.59 eV per formula unit
- ΔE_f (raw): 1.01 eV per atom
- Magnetization: 0.001 μB per atom